Entry 1:
This record from Alexandria describes a geometry-optimized Tb12SmTm2 structure. The functional is PBE.

Cell: 6.624 6.624 24.872 Å, 96.67 83.33 65.02°
Atoms (fractional coordinates):
Sm 0.500 0.000 0.000
Tb 0.497 0.503 0.671
Tb 0.167 0.833 0.444
Tb 0.833 0.167 0.556
Sm 0.000 0.500 0.000
Tb 0.097 0.903 0.202
Tb 0.105 0.395 0.861
Tb 0.895 0.605 0.139
Tm 0.045 0.455 0.272
Tb 0.667 0.333 0.444
Tb 0.003 0.997 0.329
Tb 0.056 0.944 0.926
Tb 0.605 0.895 0.861
Tb 0.556 0.444 0.926
Tb 0.333 0.667 0.556
Tb 0.395 0.105 0.139
Tb 0.317 0.183 0.576
Tb 0.683 0.817 0.424
Tm 0.955 0.545 0.728
Tb 0.403 0.597 0.798
Tb 0.503 0.497 0.329
Tb 0.597 0.403 0.202
Tb 0.997 0.003 0.671
Tb 0.183 0.317 0.424
Tm 0.455 0.045 0.728
Tb 0.444 0.556 0.074
Tb 0.903 0.097 0.798
Tb 0.817 0.683 0.576
Tb 0.944 0.056 0.074
Tm 0.545 0.955 0.272

The calculation puts the raw total energy at -135.0 eV/cell. The total moment comes out at 0.000 μB per cell. As for the space group: P2/m, No. 10. The calculation puts the formation energy at 0.114 eV/atom.

---

Entry 2:
This record from Alexandria describes a geometry-optimized TbSm5Tm4 structure. The functional is PBE.

Cell: 3.533 11.369 11.913 Å, 136.32 98.53 90.00°
Atoms (fractional coordinates):
Sm 0.789 0.694 0.578
Sm 0.189 0.801 0.378
Tm 0.605 0.914 0.209
Tm 0.395 0.086 0.791
Sm 0.211 0.306 0.422
Sm 0.811 0.199 0.622
Tm 0.082 0.371 0.164
Tb 0.500 0.000 0.000
Sm 0.500 0.500 0.000
Tm 0.918 0.629 0.836

The calculation puts the raw total energy at -45.7 eV/cell. The total moment comes out at 0.000 μB per cell. As for the space group: C2/m, No. 12. The calculation puts the formation energy at 0.039 eV/atom.

---

Entry 3:
This record from Alexandria describes a geometry-optimized TbSm7Tm2 structure. The functional is PBE.

Cell: 5.520 8.963 9.554 Å, 117.60 106.76 52.02°
Atoms (fractional coordinates):
Sm 0.751 0.639 0.781
Sm 0.500 0.500 0.000
Sm 0.000 0.801 0.602
Tb 0.000 0.000 0.000
Sm 0.249 0.361 0.219
Sm 0.251 0.140 0.781
Sm 0.000 0.199 0.398
Tm 0.500 0.300 0.601
Tm 0.500 0.700 0.399
Sm 0.749 0.860 0.219

The calculation puts the raw total energy at -46.2 eV/cell. The total moment comes out at 0.000 μB per cell. As for the space group: C2/m, No. 12. The calculation puts the formation energy at 0.044 eV/atom.

---

Entry 4:
This record from Alexandria describes a geometry-optimized Tb2Sm3Tm7 structure. The functional is PBE.

Cell: 3.499 6.284 17.800 Å, 75.73 90.00 90.00°
Atoms (fractional coordinates):
Tm 0.000 0.563 0.165
Sm 0.500 0.500 0.000
Sm 0.000 0.890 0.658
Tb 0.500 0.616 0.325
Tm 0.000 0.437 0.835
Tm 0.000 0.000 0.000
Tm 0.500 0.059 0.166
Tm 0.500 0.941 0.834
Tb 0.500 0.384 0.675
Tm 0.500 0.246 0.500
Sm 0.000 0.110 0.342
Tm 0.500 0.754 0.500

The calculation puts the raw total energy at -53.6 eV/cell. The total moment comes out at 0.000 μB per cell. As for the space group: P2/m, No. 10. The calculation puts the formation energy at 0.090 eV/atom.